Entry 1:
## CdTcNi2N (PBE)

Data for crystalline CdTcNi2N at its relaxed geometry.

Total magnetization = 0.0 μB/f.u.
Energy relative to the elements, uncorrected = 31 meV per atom
V = 62.20 Å³/f.u.
E = -6.203 eV per atom

Unit cell a=3.9553 b=3.9553 c=3.9760 alpha=90.00 beta=90.00 gamma=90.00
Fractional positions:
Cd 0.5000 0.5000 0.5000
Ni 0.5000 0.0000 0.0000
Ni 0.0000 0.5000 0.0000
N 0.0000 0.0000 0.0000
Tc 0.0000 0.0000 0.5000

***

Entry 2:
## CdNiTe2N (PBE)

Data for crystalline CdNiTe2N at its relaxed geometry.

Total magnetization = 2.8 μB/f.u.
Energy relative to the elements, uncorrected = 1433 meV per atom
Energy relative to the lowest polymorph listed for this composition = 1.081 eV/atom
V = 129.84 Å³/f.u.
E = -2.828 eV per atom

Unit cell a=5.6811 b=5.6811 c=4.0229 alpha=90.00 beta=90.00 gamma=90.00
Last column: magnetic moment on the atom in μB.
Fractional positions:
Te 0.0000 0.5000 0.0000  0.15
Te 0.5000 0.0000 0.0000  0.15
Ni 0.5000 0.5000 0.5000  0.83
Cd 0.0000 0.0000 0.0000  0.04
N 0.0000 0.0000 0.5000  1.02

***

Entry 3:
## CdNiTe2N (PBE)

Data for crystalline CdNiTe2N at its relaxed geometry.

Total magnetization = 0.0 μB/f.u.
Energy relative to the elements, uncorrected = 353 meV per atom
Energy relative to the lowest polymorph listed for this composition = 0.000 eV/atom
V = 105.39 Å³/f.u.
E = -3.908 eV per atom

Unit cell a=5.5400 b=5.5400 c=3.4337 alpha=90.00 beta=90.00 gamma=90.00
Fractional positions:
Ni 0.0000 0.0000 0.0000
N 0.0000 0.0000 0.5000
Cd 0.5000 0.5000 0.5000
Te 0.0000 0.5000 0.0000
Te 0.5000 0.0000 0.0000

***

Entry 4:
## CdNiWN2 (PBE)

Data for crystalline CdNiWN2 at its relaxed geometry.

Total magnetization = 0.5 μB/f.u.
Energy relative to the elements, uncorrected = 902 meV per atom
V = 85.79 Å³/f.u.
E = -6.358 eV per atom

Unit cell a=3.8750 b=5.7132 c=3.8750 alpha=90.00 beta=90.00 gamma=90.00
Last column: magnetic moment on the atom in μB.
Fractional positions:
Cd 0.0000 0.5000 0.0000  -0.01
W 0.0000 0.0000 0.0000  0.03
Ni 0.5000 0.5000 0.5000  0.51
N 0.5000 0.0000 0.0000  -0.02
N 0.0000 0.0000 0.5000  -0.03

***

Entry 5:
## Y2CdNiN (PBE)

Data for crystalline Y2CdNiN at its relaxed geometry.

Total magnetization = 0.0 μB/f.u.
Energy relative to the elements, uncorrected = -647 meV per atom
V = 93.14 Å³/f.u.
E = -6.237 eV per atom

Unit cell a=4.9387 b=4.9387 c=3.8186 alpha=90.00 beta=90.00 gamma=90.00
Fractional positions:
Cd 0.5000 0.5000 0.5000
Ni 0.0000 0.0000 0.5000
Y 0.0000 0.5000 0.0000
Y 0.5000 0.0000 0.0000
N 0.0000 0.0000 0.0000

***

Entry 6:
## Cd2N2O (PBE)

Data for crystalline Cd2N2O at its relaxed geometry.

Total magnetization = 0.0 μB/f.u.
Energy relative to the elements, uncorrected = -152 meV per atom
V = 113.95 Å³/f.u.
E = -4.839 eV per atom

Unit cell a=3.2010 b=3.2224 c=13.6326 alpha=96.74 beta=69.35 gamma=119.75
Fractional positions:
O 0.0000 0.0000 0.0000
N 0.4346 0.4939 0.5437
N 0.5654 0.5061 0.4563
Cd 0.5294 0.7048 0.8823
Cd 0.4706 0.2952 0.1177

***

Entry 7:
## Cd2NO (PBE)

Data for crystalline Cd2NO at its relaxed geometry.

Total magnetization = 1.0 μB/f.u.
Energy relative to the elements, uncorrected = 453 meV per atom
Energy relative to the lowest polymorph listed for this composition = 0.376 eV/atom
V = 52.38 Å³/f.u.
E = -3.325 eV per atom

Unit cell a=4.1997 b=4.1997 c=4.1997 alpha=60.00 beta=60.00 gamma=60.00
Last column: magnetic moment on the atom in μB.
Fractional positions:
O 0.5000 0.5000 0.5000  0.39
Cd 0.7500 0.7500 0.7500  0.00
Cd 0.2500 0.2500 0.2500  0.00
N 0.0000 0.0000 0.0000  0.42

***

Entry 8:
## Cd2NO (PBE)

Data for crystalline Cd2NO at its relaxed geometry.

Total magnetization = 1.0 μB/f.u.
Energy relative to the elements, uncorrected = 78 meV per atom
Energy relative to the lowest polymorph listed for this composition = 0.000 eV/atom
V = 68.40 Å³/f.u.
E = -3.701 eV per atom

Unit cell a=5.2805 b=5.2805 c=6.1653 alpha=64.64 beta=64.64 gamma=90.00
Last column: magnetic moment on the atom in μB.
Fractional positions:
N 0.2500 0.7500 0.5000  0.57
N 0.5000 0.5000 0.0000  0.57
Cd 0.3750 0.3770 0.7500  0.06
Cd 0.8750 0.8730 0.7500  0.04
Cd 0.6230 0.1250 0.2500  0.05
Cd 0.1270 0.6250 0.2500  0.05
O 0.0000 0.0000 0.0000  0.11
O 0.7500 0.2500 0.5000  0.11